No. 1
A plane-wave DFT calculation with PBE was carried out for a geometry-optimized BaH2PdBr structure.

a = 4.3219 Å, b = 4.3219 Å, c = 5.1862 Å
α = 90.00°, β = 90.00°, γ = 90.00°
Fractional positions:
Ba  0.0000  0.0000  0.0000
H  0.0000  0.5000  0.5000
H  0.5000  0.0000  0.5000
Pd  0.5000  0.5000  0.5000
Br  0.5000  0.5000  0.0000

Values from the calculation:
Its total energy is -17.71 eV per cell. The value obtained for the theoretical density is 5.58 g/cm³.



No. 2
A plane-wave DFT calculation with PBE was carried out for a geometry-optimized NaTl3In3 structure.

a = 8.3412 Å, b = 8.3412 Å, c = 8.3412 Å
α = 90.00°, β = 90.00°, γ = 90.00°
Fractional positions:
Na  0.0000  0.0000  0.0000
Na  0.5000  0.5000  0.5000
Tl  0.0000  0.2500  0.5000
Tl  0.0000  0.7500  0.5000
Tl  0.2500  0.5000  0.0000
Tl  0.5000  0.0000  0.2500
Tl  0.5000  0.0000  0.7500
Tl  0.7500  0.5000  0.0000
In  0.0000  0.5000  0.2500
In  0.0000  0.5000  0.7500
In  0.2500  0.0000  0.5000
In  0.5000  0.2500  0.0000
In  0.5000  0.7500  0.0000
In  0.7500  0.0000  0.5000

Values from the calculation:
Its total energy is -29.54 eV per cell. The relative energy among the computed polymorphs is 303 meV/atom. The value obtained for the theoretical density is 5.61 g/cm³.



No. 3
A plane-wave DFT calculation with PBE was carried out for a geometry-optimized AcLa2DyHo structure.

a = 7.4290 Å, b = 7.4290 Å, c = 7.4807 Å
α = 90.00°, β = 90.00°, γ = 110.61°
Fractional positions:
Ac  0.2412  0.7588  0.7500
Ac  0.7588  0.2412  0.2500
La  0.3022  0.3022  0.0000
La  0.3022  0.3022  0.5000
La  0.6978  0.6978  0.0000
La  0.6978  0.6978  0.5000
Dy  0.0473  0.9527  0.2500
Dy  0.9527  0.0473  0.7500
Ho  0.3010  0.6990  0.2500
Ho  0.6990  0.3010  0.7500

Values from the calculation:
Its total energy is -42.86 eV per cell. The value obtained for the theoretical density is 7.15 g/cm³.



No. 4
A plane-wave DFT calculation with PBE was carried out for a geometry-optimized MgCo2Tc2 structure.

a = 5.7804 Å, b = 5.7804 Å, c = 5.7804 Å
α = 141.41°, β = 141.41°, γ = 55.72°
Fractional positions:
Mg  0.0000  0.0000  0.0000
Co  0.3965  0.3965  0.0000
Co  0.6035  0.6035  0.0000
Tc  0.2500  0.7500  0.5000
Tc  0.7500  0.2500  0.5000

Values from the calculation:
Its total energy is -35.20 eV per cell. The relative energy among the computed polymorphs is 115 meV/atom. The value obtained for the theoretical density is 7.53 g/cm³.



No. 5
A plane-wave DFT calculation with PBE was carried out for a geometry-optimized Y2ZrPaCo2 structure.

a = 7.7770 Å, b = 7.7770 Å, c = 7.7770 Å
α = 129.85°, β = 74.35°, γ = 128.97°
Fractional positions:
Y  0.1955  0.2431  0.4386
Y  0.3045  0.7431  0.0476
Y  0.6955  0.2569  0.9524
Y  0.8045  0.7569  0.5614
Zr  0.2500  0.2500  0.0000
Zr  0.7500  0.7500  0.0000
Pa  0.2500  0.7500  0.5000
Pa  0.7500  0.2500  0.5000
Co  0.0819  0.7337  0.8156
Co  0.4181  0.2337  0.6518
Co  0.5819  0.7663  0.3482
Co  0.9181  0.2663  0.1844

Values from the calculation:
Its total energy is -93.10 eV per cell. The value obtained for the theoretical density is 7.50 g/cm³.



No. 6
A plane-wave DFT calculation with PBE was carried out for a geometry-optimized CsSc3Cr structure.

a = 5.2766 Å, b = 5.2766 Å, c = 5.2766 Å
α = 90.00°, β = 90.00°, γ = 90.00°
Fractional positions:
Cs  0.0000  0.0000  0.0000
Sc  0.0000  0.5000  0.5000
Sc  0.5000  0.0000  0.5000
Sc  0.5000  0.5000  0.0000
Cr  0.5000  0.5000  0.5000

Values from the calculation:
Its total energy is -26.04 eV per cell. The value obtained for the theoretical density is 3.61 g/cm³.



No. 7
A plane-wave DFT calculation with PBE was carried out for a geometry-optimized Tb2AlGa6 structure.

a = 5.9452 Å, b = 5.9452 Å, c = 5.6817 Å
α = 90.00°, β = 90.00°, γ = 120.00°
Fractional positions:
Tb  0.3333  0.6667  0.1449
Tb  0.6667  0.3333  0.8551
Al  0.0000  0.0000  0.0000
Ga  0.1800  0.3599  0.6680
Ga  0.1800  0.8200  0.6680
Ga  0.3599  0.1800  0.3320
Ga  0.6401  0.8200  0.6680
Ga  0.8200  0.1800  0.3320
Ga  0.8200  0.6401  0.3320

Values from the calculation:
Its total energy is -35.50 eV per cell. The relative energy among the computed polymorphs is 0 meV/atom. The value obtained for the theoretical density is 7.29 g/cm³.



No. 8
A plane-wave DFT calculation with PBE was carried out for a geometry-optimized LiSbTeSe structure.

a = 4.2735 Å, b = 4.2735 Å, c = 6.1614 Å
α = 90.85°, β = 90.85°, γ = 89.57°
Fractional positions:
Li  0.0000  0.0000  0.0000
Sb  0.4488  0.4488  0.5786
Te  0.9701  0.9701  0.4827
Se  0.4649  0.4649  0.9902

Values from the calculation:
Its total energy is -14.72 eV per cell. The value obtained for the theoretical density is 4.95 g/cm³. For the formation energy (no corrections), the calculation gives -0.51 eV/atom.



> Which value of theoretical density does entry 1 give?

5.58 g/cm³



> Look up the theoretical density of the second one.

5.61 g/cm³